No. 1
# Nd4Cd5Ag | the Alexandria database | GGA-PBE | optimized geometry
# DFT formation energy	-24.7	kJ/mol of atoms
# ΔE to the lowest computed polymorph	23	meV/atom
# volume	26.8	A^3/atom
data_Nd4Cd5Ag
_chemical_formula_sum 'Nd4 Cd5 Ag1'
_cell_length_a 3.7603
_cell_length_b 3.7603
_cell_length_c 18.9831
_cell_angle_alpha 90.00
_cell_angle_beta 90.00
_cell_angle_gamma 90.00
_space_group_name_H-M_alt 'P 1'
_space_group_IT_number 1
loop_
_space_group_symop_operation_xyz
'x,y,z'
loop_
_atom_site_label
_atom_site_type_symbol
_atom_site_fract_x
_atom_site_fract_y
_atom_site_fract_z
Nd1 Nd 0.0000 0.0000 0.3944
Cd1 Cd 0.5000 0.5000 0.0800
Nd2 Nd 0.0000 0.0000 0.1859
Cd2 Cd 0.5000 0.5000 0.2910
Cd3 Cd 0.5000 0.5000 0.9200
Nd3 Nd 0.0000 0.0000 0.6056
Ag1 Ag 0.0000 0.0000 0.0000
Cd4 Cd 0.5000 0.5000 0.5000
Cd5 Cd 0.5000 0.5000 0.7090
Nd4 Nd 0.0000 0.0000 0.8141

No. 2
# NdCd2Ag6 | the Alexandria database | GGA-PBE | optimized geometry
# DFT formation energy	-2.5	kJ/mol of atoms
# volume	21.5	A^3/atom
data_NdCd2Ag6
_chemical_formula_sum 'Nd1 Cd2 Ag6'
_cell_length_a 3.4185
_cell_length_b 8.3412
_cell_length_c 8.3412
_cell_angle_alpha 56.91
_cell_angle_beta 78.18
_cell_angle_gamma 78.18
_space_group_name_H-M_alt 'P 1'
_space_group_IT_number 1
loop_
_space_group_symop_operation_xyz
'x,y,z'
loop_
_atom_site_label
_atom_site_type_symbol
_atom_site_fract_x
_atom_site_fract_y
_atom_site_fract_z
Ag1 Ag 0.6770 0.6439 0.0021
Ag2 Ag 0.6770 0.0021 0.6439
Ag3 Ag 0.5000 0.6718 0.3282
Ag4 Ag 0.5000 0.3282 0.6718
Cd1 Cd 0.1453 0.3547 0.3547
Cd2 Cd 0.8547 0.6453 0.6453
Ag5 Ag 0.3230 0.9979 0.3561
Ag6 Ag 0.3230 0.3561 0.9979
Nd1 Nd 0.0000 0.0000 0.0000

Question: Which of these has the lowest volume?
Answer: NdCd2Ag6

What did the second record say?
# NdCd2Ag6 | the Alexandria database | GGA-PBE | optimized geometry
# DFT formation energy	-2.5	kJ/mol of atoms
# volume	21.5	A^3/atom
data_NdCd2Ag6
_chemical_formula_sum 'Nd1 Cd2 Ag6'
_cell_length_a 3.4185
_cell_length_b 8.3412
_cell_length_c 8.3412
_cell_angle_alpha 56.91
_cell_angle_beta 78.18
_cell_angle_gamma 78.18
_space_group_name_H-M_alt 'P 1'
_space_group_IT_number 1
loop_
_space_group_symop_operation_xyz
'x,y,z'
loop_
_atom_site_label
_atom_site_type_symbol
_atom_site_fract_x
_atom_site_fract_y
_atom_site_fract_z
Ag1 Ag 0.6770 0.6439 0.0021
Ag2 Ag 0.6770 0.0021 0.6439
Ag3 Ag 0.5000 0.6718 0.3282
Ag4 Ag 0.5000 0.3282 0.6718
Cd1 Cd 0.1453 0.3547 0.3547
Cd2 Cd 0.8547 0.6453 0.6453
Ag5 Ag 0.3230 0.9979 0.3561
Ag6 Ag 0.3230 0.3561 0.9979
Nd1 Nd 0.0000 0.0000 0.0000

Question: Among the records above, which one has the lowest DFT formation energy?
Answer: Nd4Cd5Ag